Material: Cs2K4Na5
Method: DFT, PBE
State: relaxed

Results
The formation energy comes out at 5 kJ per mole of atoms. Its total magnetization is 0.00 μB per cell. The calculation puts the total energy at -24.3 eV for the cell shown.

a b c (Å): 15.2364 8.7773 12.0016
angles (deg): 90.00 120.78 90.00
With the nearest neighbours (Å) after each atom.
Space group C2/m (No. 12)
Asymmetric unit:
Cs (0.0792, 0.0000, 0.2449) x4  6 Na 4.50-4.77, 5 K 4.60-4.71
K (0.1007, 0.5000, 0.3773) x4  5 Na 3.97-4.38
K (0.2312, 0.5000, 0.9656) x4  1 Na 3.75
Na (0.0000, 0.5000, 0.0000) x2  4 K 3.75-3.97
Na (0.1391, 0.2013, 0.6475) x8  2 Na 3.53-3.89

***

Material: Ta2ZnAu
Method: DFT, PBE
State: relaxed

Results
The formation energy comes out at 12 kJ per mole of atoms. Its total magnetization is 0.00 μB per cell. The calculation puts the total energy at -83.3 eV for the cell shown.

a b c (Å): 2.8991 2.8991 28.7471
angles (deg): 90.00 90.00 120.00
With the nearest neighbours (Å) after each atom.
Space group R-3m (No. 166, hexagonal axes)
Asymmetric unit:
Ta (0.0000, 0.0000, 0.2489) x6  3 Zn 2.90, 6 Ta 2.90, 3 Au 2.95
Zn (0.0000, 0.0000, 0.5000) x3  6 Ta 2.90, 6 Zn 2.90
Au (0.0000, 0.0000, 0.0000) x3  6 Au 2.90, 6 Ta 2.95

***

Material: ZnSbI2N
Method: DFT, PBE
State: relaxed

Results
Its total magnetization is 0.00 μB per cell. The uncorrected formation energy comes out at 0.770 eV/atom. The calculation puts the total energy at -13.0 eV for the cell shown. The calculation puts the excess energy over the best structure of this formula in the dataset at 0.110 eV per atom.

a b c (Å): 5.9009 5.9009 3.7164
angles (deg): 90.00 90.00 90.00
With the nearest neighbours (Å) after each atom.
Space group P4/mmm (No. 123)
Asymmetric unit:
Zn (0.0000, 0.0000, 0.0000) x1  2 N 1.86
Sb (0.5000, 0.5000, 0.5000) x1  8 I 3.49, 2 Sb 3.72
I (0.0000, 0.5000, 0.0000) x2  2 Zn 2.95
N (0.0000, 0.0000, 0.5000) x1  2 Zn 1.86

***

Material: SrAlOs
Method: DFT, PBE
State: relaxed

Results
The formation energy comes out at 58 kJ per mole of atoms. Its total magnetization is 0.00 μB per cell. The calculation puts the total energy at -59.4 eV for the cell shown.

a b c (Å): 6.5547 6.5547 6.5547
angles (deg): 90.00 90.00 90.00
With the nearest neighbours (Å) after each atom.
Space group F-43m (No. 216)
Asymmetric unit:
Sr (0.0000, 0.0000, 0.0000) x4  4 Os 2.84
Al (0.0000, 0.0000, 0.5000) x4  4 Os 2.84
Os (0.2500, 0.2500, 0.7500) x4  4 Al 2.84, 4 Sr 2.84

***

Material: GeF2
Method: DFT, PBE
State: relaxed

Results
Its total magnetization is 0.00 μB per cell. The uncorrected formation energy comes out at -1.874 eV/atom. The calculation puts the total energy at -28.0 eV for the cell shown.

a b c (Å): 6.2231 3.5934 4.5731
angles (deg): 90.00 90.34 90.00
With the nearest neighbours (Å) after each atom.
Space group C2/m (No. 12)
Asymmetric unit:
Ge (0.0000, 0.0000, 0.0000) x2  6 F 2.29
F (0.1674, 0.5000, 0.2132) x4  3 Ge 2.29

***

Material: ReAgAs2
Method: DFT, PBE
State: relaxed

Results
The formation energy comes out at 39 kJ per mole of atoms. Its total magnetization is 0.00 μB per cell. The calculation puts the total energy at -23.0 eV for the cell shown. The calculation puts the excess energy over the best structure of this formula in the dataset at 0.252 eV per atom.

a b c (Å): 2.7170 4.2487 6.7734
angles (deg): 90.00 91.03 90.00
With the nearest neighbours (Å) after each atom.
Space group Pm (No. 6)
Asymmetric unit:
Re (0.0000, 0.0000, 0.0000) x1  3 As 2.55-2.59, 2 Re 2.72
Ag (0.5098, 0.5000, 0.2170) x1  2 Ag 2.72, 4 As 2.76, 4 Re 2.92
As (0.0158, 0.0000, 0.3822) x1  1 Re 2.59, 2 As 2.72, 4 Ag 2.76
As (0.9915, 0.5000, 0.7916) x1  2 Re 2.55, 2 As 2.72

***

Material: Sm2Sc3Co2
Method: DFT, PBE
State: relaxed

Results
The formation energy comes out at -7 kJ per mole of atoms. Its total magnetization is 0.00 μB per cell. The calculation puts the total energy at -43.2 eV for the cell shown.

a b c (Å): 3.6597 6.2873 7.9863
angles (deg): 71.50 76.78 73.10
With the nearest neighbours (Å) after each atom.
Space group P-1 (No. 2)
Asymmetric unit:
Sm (0.1079, 0.2049, 0.0815) x2  1 Co 2.56
Sc (0.2850, 0.6077, 0.3212) x2  3 Co 2.50-2.56
Sc (0.5000, 0.0000, 0.5000) x1  4 Co 2.55
Co (0.0917, 0.7013, 0.6161) x2  5 Sc 2.50-2.56, 1 Sm 2.56

***

Material: BaPdO2F
Method: DFT, PBE
State: relaxed

Results
Its total magnetization is 1.00 μB per cell. The uncorrected formation energy comes out at -0.354 eV/atom. The calculation puts the total energy at -20.7 eV for the cell shown.

a b c (Å): 4.7552 4.7552 4.9218
angles (deg): 90.00 90.00 90.00
With the nearest neighbours (Å) after each atom.
Space group P4/mmm (No. 123)
Asymmetric unit:
Ba (0.0000, 0.0000, 0.0000) x1  4 O 2.38, 2 F 2.46
Pd (0.5000, 0.5000, 0.5000) x1  4 F 3.36, 8 O 3.42
O (0.0000, 0.5000, 0.0000) x2  2 Ba 2.38
F (0.0000, 0.0000, 0.5000) x1  2 Ba 2.46